ScAl2Cr | PBE-GGA | optimized geometry

Cell: 9.192 9.192 9.192 Å, 18.50 18.50 18.50°
Last column: magnetic moment on the atom in μB.
Atoms (fractional coordinates):
Al: 0.509 0.509 0.509  -0.02
Al: 0.991 0.991 0.991  -0.02
Cr: 0.250 0.250 0.250  1.82
Sc: 0.750 0.750 0.750  0.05

Summary:
N(E_F)	1.003	states/eV/atom
energy above the lowest structure with this stoichiometry	282	meV/atom
ΔH_f (0 K)	0.0728	eV per atom
size of the total moment	1.87	μB per cell